This record from Alexandria via LeMat-Bulk describes a relaxed structure of AgRhBr2. The functional is PBE.

For the total energy, the calculation gives -3.267 eV per atom. The uncorrected formation energy is 0.120 eV per atom.

The structure belongs to space group Amm2 (No. 38); the cell edges are 3.5676, 3.9477 and 12.0460 Å and the angles 90.00°, 90.00° and 90.00°. The inequivalent atoms are Ag at (0.0000, 0.0000, 0.0000), Rh at (0.5000, 0.0000, 0.8090), Br at (0.0000, 0.0000, 0.2981) and Br at (0.5000, 0.0000, 0.5950).